# Tl2CoBr2F2

A relaxed Tl2CoBr2F2 crystal (GGA+U, Alexandria).

a b c (Å): 12.846 3.996 7.917
angles (deg): 90.00 120.57 90.00
Space group C2/m (No. 12)
One atom of each set of equivalent atoms:
Tl: 0.182 0.000 0.225 [4 per cell]
Co: 0.000 0.000 0.500 [2 per cell]
Br: 0.050 0.500 0.760 [4 per cell]
F: 0.170 0.000 0.562 [4 per cell]

Output
* DOS(E_F): 0.0 states/eV/f.u.
* uncorrected energy: -3.7600 eV/atom